1.
Here is an optimized crystal structure of FePd2Au8 from the Alexandria database. Energies are from PBE.

a b c (Å): 6.8800 6.8800 4.3592
angles (deg): 90.00 90.00 105.58
With the nearest neighbours (Å) after each atom.
Element x y z (fractional)
Fe: 0.0000 0.0000 0.0000  4 Au 2.62-2.73
Pd: 0.3788 0.6212 0.5000  1 Pd 2.66, 8 Au 2.66-2.93
Pd: 0.6212 0.3788 0.5000  1 Pd 2.66, 8 Au 2.66-2.93
Au: 0.0382 0.2990 0.5000  2 Pd 2.76-3.06, 7 Au 2.81-2.95, 2 Fe 2.96
Au: 0.2391 0.7609 0.0000  1 Fe 2.62, 2 Pd 2.66, 4 Au 2.85
Au: 0.2990 0.0382 0.5000  2 Pd 2.76-3.06, 7 Au 2.81-2.95, 2 Fe 2.96
Au: 0.3279 0.3279 0.0000  1 Fe 2.73, 5 Au 2.86-2.92, 4 Pd 2.93
Au: 0.6721 0.6721 0.0000  1 Fe 2.73, 5 Au 2.86-2.92, 4 Pd 2.93
Au: 0.7010 0.9618 0.5000  2 Pd 2.76-3.06, 7 Au 2.81-2.95, 2 Fe 2.96
Au: 0.7609 0.2391 0.0000  1 Fe 2.62, 2 Pd 2.66, 4 Au 2.85
Au: 0.9618 0.7010 0.5000  2 Pd 2.76-3.06, 7 Au 2.81-2.95, 2 Fe 2.96

**Formation energy**: 73 meV per atom


2.
Here is an optimized crystal structure of AcPrRh2 from the Alexandria database. Energies are from PBE.

a b c (Å): 7.5970 7.5970 7.5970
angles (deg): 31.50 31.50 31.50
With the nearest neighbours (Å) after each atom.
Element x y z (fractional)
Ac: 0.0000 0.0000 0.0000  6 Rh 2.95-3.02
Pr: 0.1716 0.1716 0.1716  6 Rh 2.96-3.02
Rh: 0.5859 0.5859 0.5859  3 Ac 2.95, 3 Pr 2.96
Rh: 0.7524 0.7524 0.7524  3 Ac 3.02, 3 Pr 3.02

**Excess energy over the best structure of this formula in the dataset**: 210.3 meV/atom
**Formation energy**: -447 meV per atom


3.
Here is an optimized crystal structure of CdB2Cl from the Alexandria database. Energies are from PBE.

a b c (Å): 4.4893 4.4893 4.4893
angles (deg): 60.00 60.00 60.00
With the nearest neighbours (Å) after each atom.
Element x y z (fractional)
Cd: 0.0000 0.0000 0.0000  8 B 2.75
B: 0.2500 0.2500 0.2500  4 Cl 2.75, 4 Cd 2.75
B: 0.7500 0.7500 0.7500  4 Cl 2.75, 4 Cd 2.75
Cl: 0.5000 0.5000 0.5000  8 B 2.75

**Excess energy over the best structure of this formula in the dataset**: 397.8 meV/atom
**Formation energy (no corrections)**: 1871 meV per atom


4.
Here is an optimized crystal structure of Si5W from the Alexandria database. Energies are from PBE.

a b c (Å): 3.2248 3.2248 8.2620
angles (deg): 90.00 90.00 90.00
With the nearest neighbours (Å) after each atom.
Element x y z (fractional)
Si: 0.0000 0.0000 0.0000  10 Si 2.70-2.84
Si: 0.0000 0.0000 0.3435  6 Si 2.59-2.84, 4 W 2.62
Si: 0.0000 0.0000 0.6565  6 Si 2.59-2.84, 4 W 2.62
Si: 0.5000 0.5000 0.1742  9 Si 2.68-2.88, 1 W 2.69
Si: 0.5000 0.5000 0.8258  9 Si 2.68-2.88, 1 W 2.69
W: 0.5000 0.5000 0.5000  10 Si 2.62-2.69

**Excess energy over the best structure of this formula in the dataset**: 15.5 meV/atom
**Formation energy (no corrections)**: 241 meV per atom


5.
Here is an optimized crystal structure of Na3Tl7In2 from the Alexandria database. Energies are from PBE.

a b c (Å): 6.0482 6.1922 10.1981
angles (deg): 93.72 94.55 113.08
With the nearest neighbours (Å) after each atom.
Element x y z (fractional)
Na: 0.0000 0.0000 0.0000  8 Tl 3.33-3.64, 2 Na 3.54
Na: 0.1631 0.1623 0.3446  8 Tl 3.34-3.73, 3 In 3.35-3.41, 1 Na 3.54
Na: 0.8369 0.8377 0.6554  8 Tl 3.34-3.73, 3 In 3.35-3.41, 1 Na 3.54
Tl: 0.0822 0.5836 0.1708  2 In 3.27-3.58, 6 Tl 3.36-3.63, 2 Na 3.37-3.41
Tl: 0.2611 0.7397 0.5009  2 In 3.28-3.29, 4 Na 3.34-3.62, 4 Tl 3.38-3.41
Tl: 0.4155 0.9186 0.8309  2 In 3.31-3.68, 4 Na 3.33-3.64, 5 Tl 3.37-3.48
Tl: 0.5000 0.5000 0.0000  8 Tl 3.36-3.72, 2 Na 3.37, 2 In 3.38
Tl: 0.5845 0.0814 0.1691  2 In 3.31-3.68, 4 Na 3.33-3.64, 5 Tl 3.37-3.48
Tl: 0.7389 0.2603 0.4991  2 In 3.28-3.29, 4 Na 3.34-3.62, 4 Tl 3.38-3.41
Tl: 0.9178 0.4164 0.8292  2 In 3.27-3.58, 6 Tl 3.36-3.63, 2 Na 3.37-3.41
In: 0.3361 0.3375 0.6726  6 Tl 3.27-3.58, 3 Na 3.35-3.41
In: 0.6639 0.6625 0.3274  6 Tl 3.27-3.58, 3 Na 3.35-3.41

**Excess energy over the best structure of this formula in the dataset**: 0.0 meV/atom
**Formation energy**: -65 meV per atom


6.
Here is an optimized crystal structure of Sc2MnP from the Alexandria database. Energies are from PBE.

a b c (Å): 4.9716 4.9716 4.9716
angles (deg): 131.78 131.78 70.58
With the nearest neighbours (Å) after each atom.
Element x y z (fractional)
Sc: 0.2500 0.7500 0.5000  4 Mn 2.87, 4 P 2.87, 4 Sc 2.87
Sc: 0.7500 0.2500 0.5000  4 Mn 2.87, 4 P 2.87, 4 Sc 2.87
Mn: 0.0000 0.0000 0.0000  8 Sc 2.87, 4 P 2.87
P: 0.5000 0.5000 0.0000  8 Sc 2.87, 4 Mn 2.87

**Formation energy**: -390 meV per atom


7.
Here is an optimized crystal structure of Fe3W2 from the Alexandria database. Energies are from PBE.

a b c (Å): 4.0380 4.0380 5.0296
angles (deg): 90.00 90.00 120.00
With the nearest neighbours (Å) after each atom.
Element x y z (fractional)
Fe: 0.0000 0.0000 0.0000  6 W 2.52
Fe: 0.3333 0.6667 0.3362  5 W 2.39-2.64
Fe: 0.6667 0.3333 0.6638  5 W 2.39-2.64
W: 0.3333 0.6667 0.8105  8 Fe 2.39-2.64
W: 0.6667 0.3333 0.1895  8 Fe 2.39-2.64

**Excess energy over the best structure of this formula in the dataset**: 322.9 meV/atom
**Formation energy**: 503 meV per atom


8.
Here is an optimized crystal structure of Ba4SbAuI2 from the Alexandria database. Energies are from PBE.

a b c (Å): 8.5776 4.9255 8.9974
angles (deg): 90.00 108.04 90.00
With the nearest neighbours (Å) after each atom.
Element x y z (fractional)
Ba: 0.2299 0.0000 0.2142  2 Au 3.36, 1 Sb 3.44, 1 I 3.69
Ba: 0.2569 0.5000 0.7814  1 Au 3.38, 2 Sb 3.43, 3 I 3.72-3.75
Ba: 0.7431 0.5000 0.2186  1 Au 3.38, 2 Sb 3.43, 3 I 3.72-3.75
Ba: 0.7701 0.0000 0.7858  2 Au 3.36, 1 Sb 3.44, 1 I 3.69
Sb: 0.5000 0.0000 0.0000  6 Ba 3.43-3.44
Au: 0.0000 0.5000 0.0000  6 Ba 3.36-3.38
I: 0.0000 0.0000 0.5000  6 Ba 3.69-3.72
I: 0.5000 0.5000 0.5000  6 Ba 3.75-3.79

**Formation energy (no corrections)**: -1184 meV per atom


9.
Here is an optimized crystal structure of TbSm5Ga6 from the Alexandria database. Energies are from PBE.

a b c (Å): 8.9134 8.9134 5.1407
angles (deg): 106.71 106.71 120.13
With the nearest neighbours (Å) after each atom.
Element x y z (fractional)
Tb: 0.0000 0.0000 0.0000  8 Ga 3.12-3.13
Sm: 0.1687 0.8313 0.5000  8 Ga 3.13-3.16
Sm: 0.3343 0.6657 0.0000  8 Ga 3.16-3.17
Sm: 0.5000 0.5000 0.5000  8 Ga 3.15-3.18
Sm: 0.6657 0.3343 0.0000  8 Ga 3.16-3.17
Sm: 0.8313 0.1687 0.5000  8 Ga 3.13-3.16
Ga: 0.0817 0.4118 0.2468  1 Tb 3.12, 7 Sm 3.13-3.17
Ga: 0.2438 0.2438 0.7442  2 Tb 3.12-3.13, 6 Sm 3.15-3.18
Ga: 0.4118 0.0817 0.2468  1 Tb 3.12, 7 Sm 3.13-3.17
Ga: 0.5882 0.9183 0.7532  1 Tb 3.12, 7 Sm 3.13-3.17
Ga: 0.7562 0.7562 0.2558  2 Tb 3.12-3.13, 6 Sm 3.15-3.18
Ga: 0.9183 0.5882 0.7532  1 Tb 3.12, 7 Sm 3.13-3.17

**Formation energy**: -572 meV per atom


10.
Here is an optimized crystal structure of Zn3In from the Alexandria database. Energies are from PBE.

a b c (Å): 6.7928 8.0294 5.4278
angles (deg): 90.00 90.00 90.00
With the nearest neighbours (Å) after each atom.
Element x y z (fractional)
Zn: 0.1235 0.2500 0.1589  6 Zn 2.62-2.81, 2 In 2.82-2.90
Zn: 0.1913 0.5328 0.9335  6 Zn 2.62-2.88
Zn: 0.1913 0.9672 0.9335  6 Zn 2.62-2.88
Zn: 0.3087 0.0328 0.4335  6 Zn 2.62-2.88
Zn: 0.3087 0.4672 0.4335  6 Zn 2.62-2.88
Zn: 0.3765 0.7500 0.6589  6 Zn 2.62-2.81, 2 In 2.82-2.90
Zn: 0.6235 0.2500 0.3411  6 Zn 2.62-2.81, 2 In 2.82-2.90
Zn: 0.6913 0.5328 0.5665  6 Zn 2.62-2.88
Zn: 0.6913 0.9672 0.5665  6 Zn 2.62-2.88
Zn: 0.8087 0.0328 0.0665  6 Zn 2.62-2.88
Zn: 0.8087 0.4672 0.0665  6 Zn 2.62-2.88
Zn: 0.8765 0.7500 0.8411  6 Zn 2.62-2.81, 2 In 2.82-2.90
In: 0.0090 0.7500 0.3481  11 Zn 2.82-3.10
In: 0.4910 0.2500 0.8481  11 Zn 2.82-3.10
In: 0.5090 0.7500 0.1519  11 Zn 2.82-3.10
In: 0.9910 0.2500 0.6519  11 Zn 2.82-3.10

**Formation energy**: 75 meV per atom


11.
Here is an optimized crystal structure of La7Ho3Er from the Alexandria database. Energies are from PBE.

a b c (Å): 8.6627 8.6627 8.6627
angles (deg): 139.43 97.80 96.01
With the nearest neighbours (Å) after each atom.
Element x y z (fractional)
La: 0.0000 0.0000 0.0000  2 Er 3.00
La: 0.0945 0.7871 0.3074  2 Ho 3.30-3.63, 3 La 3.39-3.51
La: 0.2899 0.5000 0.7899  1 Er 3.30, 2 Ho 3.37, 2 La 3.51
La: 0.4797 0.7871 0.6926  2 Ho 3.30-3.63, 3 La 3.39-3.51
La: 0.5203 0.2129 0.3074  2 Ho 3.30-3.63, 3 La 3.39-3.51
La: 0.7101 0.5000 0.2101  1 Er 3.30, 2 Ho 3.37, 2 La 3.51
La: 0.9055 0.2129 0.6926  2 Ho 3.30-3.63, 3 La 3.39-3.51
Ho: 0.2949 0.2949 0.0000  9 La 3.37-3.72
Ho: 0.5000 0.0000 0.5000  4 La 3.30
Ho: 0.7051 0.7051 0.0000  9 La 3.37-3.72
Er: 0.0000 0.5000 0.5000  4 La 3.00-3.30

**Formation energy**: 217 meV per atom


Here are the calculated volume numbers, same order: 198.76; 106.26; 63.98; 85.92; 348.33; 66.95; 71.02; 361.44; 288.68; 296.04; 396.52 (Å³ per cell).
Here are the calculated density of states at the Fermi level numbers, same order: 0.620; 0.168; 0.718; 0.560; 0.335; 1.012; 0.510; 0.686; 0.373; 0.188; 1.399 (states/eV/atom).
Here are the calculated electronic total energy numbers, same order: -4.02; -6.35; -2.16; -6.44; -2.23; -7.20; -9.76; -3.46; -4.44; -1.57; -4.58 (eV/atom).